! Pm2CdAu5 | Alexandria via LeMat-Bulk | GGA-PBE | optimized geometry; values from VASP
&SYSTEM
  ibrav = 0, nat = 8, ntyp = 3
/
ATOMIC_SPECIES
Pm 145.00 Pm.upf
Cd 112.41 Cd.upf
Au 196.97 Au.upf
ATOMIC_POSITIONS crystal
Pm 0.000 0.500 0.500
Pm 0.500 0.000 0.500
Cd 0.092 0.092 0.000
Au 0.462 0.462 0.000
Au 0.542 0.542 0.575
Au 0.542 0.967 0.000
Au 0.967 0.542 0.000
Au 0.967 0.967 0.425
CELL_PARAMETERS angstrom
-3.375 3.375 3.943
3.375 -3.375 3.943
3.375 3.375 -3.943
! * ρ: 12.8 g/cm³
! * space group: I4mm (107)
! * uncorrected energy: -3.86 eV per atom
! * DOS(E_F): 4.2 states/eV per cell

---

! PmCd2Au6 | Alexandria via LeMat-Bulk | GGA-PBE | optimized geometry; values from VASP
&SYSTEM
  ibrav = 0, nat = 18, ntyp = 3
/
ATOMIC_SPECIES
Pm 145.00 Pm.upf
Cd 112.41 Cd.upf
Au 196.97 Au.upf
ATOMIC_POSITIONS crystal
Pm 0.249 0.751 0.750
Pm 0.751 0.249 0.250
Cd 0.162 0.340 0.499
Cd 0.340 0.162 0.999
Cd 0.660 0.838 0.001
Cd 0.838 0.660 0.501
Au 0.010 0.166 0.987
Au 0.084 0.584 0.247
Au 0.166 0.010 0.487
Au 0.335 0.492 0.011
Au 0.416 0.916 0.253
Au 0.492 0.335 0.511
Au 0.508 0.665 0.489
Au 0.584 0.084 0.747
Au 0.665 0.508 0.989
Au 0.834 0.990 0.513
Au 0.916 0.416 0.753
Au 0.990 0.834 0.013
CELL_PARAMETERS angstrom
4.595 -7.608 0.000
4.595 7.608 0.000
-0.022 0.000 5.202
! * ρ: 14.2 g/cm³
! * space group: C2/c (15)
! * uncorrected energy: -3.25 eV per atom
! * DOS(E_F): 7.0 states/eV per cell

---

Look up the DOS(E_F) of the second one. 7.0 states/eV per cell

---

The highest DOS(E_F) belongs to which entry? PmCd2Au6

---

Which formula does entry 2 have? PmCd2Au6